A plane-wave DFT calculation with GGA-PBE was carried out for a relaxed structure of MgTa2Rh.

The structure belongs to space group I-42d (No. 122); the cell edges are 7.5935, 7.5935 and 5.3441 Å and the angles 90.00°, 90.00° and 90.00°. The asymmetric unit holds Mg at (0.0000, 0.0000, 0.0000), Ta at (0.2010, 0.2500, 0.6250) and Rh at (0.0000, 0.0000, 0.5000).

The value obtained for the volume is 19.259 A^3/atom. The calculation puts the total magnetization at 0.00 Bohr magnetons per cell. As for the formation energy from the elements: 0.345 eV per atom.